(1)
The following is a PBE calculation of a relaxed ErSc3Ni2 crystal, from Alexandria.

Geometry as POSCAR:
```
ErSc3Ni2
1.0
3.450 0.000 0.000
0.000 8.897 0.000
0.000 0.000 7.972
Er Sc Ni
2 6 4
direct
0.000 0.071 0.000
0.000 0.929 0.500
0.000 0.292 0.662
0.000 0.708 0.162
0.500 0.221 0.320
0.500 0.437 0.981
0.500 0.563 0.481
0.500 0.779 0.820
0.000 0.425 0.258
0.000 0.575 0.758
0.500 0.079 0.721
0.500 0.921 0.221
```

---

(2)
Er2Sc3Ni2 (PBE, relaxed); energy relative to the lowest polymorph listed for this composition = 0.000 eV/atom
1.0
11.497 0.000 0.000
0.000 3.421 0.000
-3.613 0.000 7.721
Er Sc Ni
4 6 4
direct
0.161 0.000 0.304
0.339 0.500 0.696
0.661 0.500 0.304
0.839 0.000 0.696
0.000 0.500 0.500
0.117 0.500 0.932
0.383 0.000 0.068
0.500 0.000 0.500
0.617 0.000 0.932
0.883 0.500 0.068
0.167 0.000 0.736
0.333 0.500 0.264
0.667 0.500 0.736
0.833 0.000 0.264

---

(3)
The following is a PBE calculation of a relaxed Er3Sc2Ni2 crystal, from Alexandria.

Geometry as POSCAR:
```
Er3Sc2Ni2
1.0
11.795 0.000 0.000
0.000 3.473 0.000
-3.865 0.000 7.753
Er Sc Ni
6 4 4
direct
0.000 0.000 0.000
0.113 0.000 0.435
0.387 0.500 0.565
0.500 0.500 0.000
0.613 0.500 0.435
0.887 0.000 0.565
0.170 0.500 0.820
0.330 0.000 0.180
0.670 0.000 0.820
0.830 0.500 0.180
0.183 0.500 0.234
0.317 0.000 0.766
0.683 0.000 0.234
0.817 0.500 0.766
```

---

(4)
The following is a PBE calculation of a relaxed ErScNi10 crystal, from Alexandria.

Geometry as POSCAR:
```
ErScNi10
1.0
3.964 0.000 0.000
0.000 4.798 0.000
0.000 0.000 8.306
Er Sc Ni
1 1 10
direct
0.000 0.000 0.000
0.000 0.500 0.500
0.000 0.000 0.339
0.000 0.000 0.661
0.000 0.500 0.173
0.000 0.500 0.827
0.500 0.000 0.500
0.500 0.251 0.253
0.500 0.251 0.747
0.500 0.500 0.000
0.500 0.749 0.253
0.500 0.749 0.747
```

---

(5)
The following is a PBE calculation of a relaxed Er2Sc3Ni4 crystal, from Alexandria.

Geometry as POSCAR:
```
Er2Sc3Ni4
1.0
6.997 0.000 0.000
0.000 6.979 0.000
-2.274 0.000 6.889
Er Sc Ni
4 6 8
direct
0.197 0.175 0.084
0.197 0.325 0.584
0.803 0.675 0.416
0.803 0.825 0.916
0.244 0.668 0.249
0.244 0.832 0.749
0.500 0.000 0.500
0.500 0.500 0.000
0.756 0.168 0.251
0.756 0.332 0.751
0.087 0.537 0.874
0.087 0.963 0.374
0.499 0.625 0.619
0.499 0.875 0.119
0.501 0.125 0.881
0.501 0.375 0.381
0.913 0.037 0.626
0.913 0.463 0.126
```

---

(6)
The following is a PBE calculation of a relaxed Er4ScNi crystal, from Alexandria.

Geometry as POSCAR:
```
Er4ScNi
1.0
4.445 -6.252 0.000
4.445 6.252 0.000
-1.683 0.000 5.666
Er Sc Ni
8 2 2
direct
0.062 0.724 0.950
0.182 0.373 0.629
0.276 0.938 0.550
0.373 0.182 0.129
0.627 0.818 0.871
0.724 0.062 0.450
0.818 0.627 0.371
0.938 0.276 0.050
0.390 0.610 0.250
0.610 0.390 0.750
0.000 0.000 0.250
0.000 0.000 0.750
```

---

D(E_F), record by record: 6.18; 10.48; 9.34; 13.42; 6.73; 8.42 states/eV/f.u.
DFT formation energy, record by record: -327.3; -282.3; -264.3; -308.9; -446.3; -61.8 meV/atom